Entry 1:
The following is a DFT calculation (PBE) of an optimized crystal structure of Pr6SmHo8.

Cell: 9.1339 9.1339 8.7655 Å, 58.60 58.60 60.00°
With the nearest neighbours (Å) after each atom.
Atoms (fractional coordinates):
Pr 0.4627 0.8984 0.8673  4 Ho 3.40-3.71, 1 Sm 3.49, 2 Pr 3.55
Pr 0.1016 0.2283 0.1327  4 Ho 3.40-3.71, 1 Sm 3.49, 2 Pr 3.55
Pr 0.2283 0.5373 0.1327  4 Ho 3.40-3.71, 1 Sm 3.49, 2 Pr 3.55
Pr 0.7717 0.4627 0.8673  4 Ho 3.40-3.71, 1 Sm 3.49, 2 Pr 3.55
Pr 0.8984 0.7717 0.8673  4 Ho 3.40-3.71, 1 Sm 3.49, 2 Pr 3.55
Pr 0.5373 0.1016 0.1327  4 Ho 3.40-3.71, 1 Sm 3.49, 2 Pr 3.55
Sm 0.0000 0.0000 0.0000  6 Pr 3.49, 6 Ho 3.58
Ho 0.2496 0.2852 0.5776  3 Pr 3.40-3.71, 5 Ho 3.44-3.48, 1 Sm 3.58
Ho 0.7148 0.1124 0.4224  3 Pr 3.40-3.71, 5 Ho 3.44-3.48, 1 Sm 3.58
Ho 0.1124 0.7504 0.4224  3 Pr 3.40-3.71, 5 Ho 3.44-3.48, 1 Sm 3.58
Ho 0.5765 0.5765 0.2705  4 Ho 3.21-3.44, 3 Pr 3.49
Ho 0.4235 0.4235 0.7295  4 Ho 3.21-3.44, 3 Pr 3.49
Ho 0.8876 0.2496 0.5776  3 Pr 3.40-3.71, 5 Ho 3.44-3.48, 1 Sm 3.58
Ho 0.2852 0.8876 0.5776  3 Pr 3.40-3.71, 5 Ho 3.44-3.48, 1 Sm 3.58
Ho 0.7504 0.7148 0.4224  3 Pr 3.40-3.71, 5 Ho 3.44-3.48, 1 Sm 3.58

- calculated formation energy (kJ/mol of atoms) = 12

Entry 2:
The following is a DFT calculation (PBE) of an optimized crystal structure of Pr4Sm5Ho3.

Cell: 6.0019 8.7228 9.8132 Å, 105.79 72.19 69.88°
With the nearest neighbours (Å) after each atom.
Atoms (fractional coordinates):
Pr 0.8598 0.2237 0.0567  2 Pr 3.36-3.71, 3 Sm 3.47-3.59, 1 Ho 3.48
Pr 0.1619 0.0554 0.6208  3 Ho 3.38-3.55, 3 Pr 3.63-3.71, 3 Sm 3.72
Pr 0.8381 0.9446 0.3792  3 Ho 3.38-3.55, 3 Pr 3.63-3.71, 3 Sm 3.72
Pr 0.1402 0.7763 0.9433  2 Pr 3.36-3.71, 3 Sm 3.47-3.59, 1 Ho 3.48
Sm 0.6294 0.9434 0.7977  2 Ho 3.32-3.52, 2 Sm 3.49-3.70, 2 Pr 3.72
Sm 0.5000 0.5000 0.5000  4 Ho 3.00-3.14
Sm 0.2162 0.4553 0.1122  4 Ho 3.25-3.53, 3 Pr 3.47-3.59
Sm 0.7838 0.5447 0.8878  4 Ho 3.25-3.53, 3 Pr 3.47-3.59
Sm 0.3706 0.0566 0.2023  2 Ho 3.32-3.52, 2 Sm 3.49-3.70, 2 Pr 3.72
Ho 0.5203 0.6894 0.2700  3 Sm 3.14-3.32, 2 Pr 3.38-3.48
Ho 0.0000 0.5000 0.5000  2 Sm 3.00
Ho 0.4797 0.3106 0.7300  3 Sm 3.14-3.32, 2 Pr 3.38-3.48

- calculated formation energy (kJ/mol of atoms) = 20